1.
A plane-wave DFT calculation with PBE was carried out for a relaxed TbPr2Sm6Tm3 crystal.

Summary:
The energy of formation comes out at 0.020 eV/atom. The value obtained for the total energy is -111.37 eV for the cell shown. Its total magnetization is 0.00 μB/cell. The calculation puts the volume at 792.2 Å³/cell.

Cell and atoms, written as CIF:
```
data_TbPr2Sm6Tm3
_chemical_formula_sum 'Tb2 Pr4 Sm12 Tm6'
_cell_length_a 6.246
_cell_length_b 10.818
_cell_length_c 11.907
_cell_angle_alpha 90.00
_cell_angle_beta 100.05
_cell_angle_gamma 90.00
_symmetry_space_group_name_H-M 'C 1 2/m 1'
_symmetry_Int_Tables_number 12
loop_
_symmetry_equiv_pos_as_xyz
'x,y,z'
'-x,-y,-z'
'-x,y,-z'
'x,-y,z'
'x+1/2,y+1/2,z'
'-x+1/2,-y+1/2,-z'
'-x+1/2,y+1/2,-z'
'x+1/2,-y+1/2,z'
loop_
_atom_site_label
_atom_site_type_symbol
_atom_site_fract_x
_atom_site_fract_y
_atom_site_fract_z
_atom_site_occupancy
Tb1 Tb 0.000 0.000 0.000 1
Pr1 Pr 0.000 0.333 0.000 1
Sm1 Sm 0.247 0.000 0.745 1
Sm2 Sm 0.249 0.334 0.745 1
Tm1 Tm 0.000 0.166 0.500 1
Tm2 Tm 0.000 0.500 0.500 1
```

2.
A plane-wave DFT calculation with PBE was carried out for a relaxed TbPr6SmTm2 crystal.

Summary:
The energy of formation comes out at 0.113 eV/atom. The value obtained for the total energy is -183.34 eV for the cell shown. Its total magnetization is 0.00 μB/cell. The calculation puts the volume at 1384.0 Å³/cell.

Cell and atoms, written as CIF:
```
data_TbPr6SmTm2
_chemical_formula_sum 'Tb4 Pr24 Sm4 Tm8'
_cell_length_a 9.345
_cell_length_b 15.341
_cell_length_c 9.746
_cell_angle_alpha 90.00
_cell_angle_beta 97.91
_cell_angle_gamma 90.00
_symmetry_space_group_name_H-M 'C 1 2/c 1'
_symmetry_Int_Tables_number 15
loop_
_symmetry_equiv_pos_as_xyz
'x,y,z'
'-x,-y,-z'
'-x,y,-z+1/2'
'x,-y,z+1/2'
'x+1/2,y+1/2,z'
'-x+1/2,-y+1/2,-z'
'-x+1/2,y+1/2,-z+1/2'
'x+1/2,-y+1/2,z+1/2'
loop_
_atom_site_label
_atom_site_type_symbol
_atom_site_fract_x
_atom_site_fract_y
_atom_site_fract_z
_atom_site_occupancy
Tb1 Tb 0.000 0.030 0.250 1
Pr1 Pr 0.064 0.174 0.945 1
Pr2 Pr 0.096 0.392 0.119 1
Pr3 Pr 0.214 0.223 0.314 1
Sm1 Sm 0.000 0.409 0.750 1
Tm1 Tm 0.245 0.047 0.548 1
```

3.
A plane-wave DFT calculation with PBE was carried out for a relaxed Tb4Pr2SmTm crystal.

Summary:
The energy of formation comes out at 0.019 eV/atom. The value obtained for the total energy is -37.12 eV for the cell shown. Its total magnetization is 0.00 μB/cell. The calculation puts the volume at 263.4 Å³/cell.

Cell and atoms, written as CIF:
```
data_Tb4Pr2SmTm
_chemical_formula_sum 'Tb4 Pr2 Sm1 Tm1'
_cell_length_a 5.085
_cell_length_b 5.101
_cell_length_c 10.156
_cell_angle_alpha 90.00
_cell_angle_beta 90.04
_cell_angle_gamma 90.00
_symmetry_space_group_name_H-M 'P 1 2/m 1'
_symmetry_Int_Tables_number 10
loop_
_symmetry_equiv_pos_as_xyz
'x,y,z'
'-x,-y,-z'
'-x,y,-z'
'x,-y,z'
loop_
_atom_site_label
_atom_site_type_symbol
_atom_site_fract_x
_atom_site_fract_y
_atom_site_fract_z
_atom_site_occupancy
Tb1 Tb 0.000 0.000 0.248 1
Tb2 Tb 0.500 0.500 0.248 1
Pr1 Pr 0.000 0.500 0.000 1
Pr2 Pr 0.500 0.000 0.500 1
Sm1 Sm 0.000 0.500 0.500 1
Tm1 Tm 0.500 0.000 0.000 1
```

4.
A plane-wave DFT calculation with PBE was carried out for a relaxed Tb2Pr2SmTm2 crystal.

Summary:
The energy of formation comes out at 0.085 eV/atom. The value obtained for the total energy is -63.77 eV for the cell shown. Its total magnetization is 0.00 μB/cell. The calculation puts the volume at 466.9 Å³/cell.

Cell and atoms, written as CIF:
```
data_Tb2Pr2SmTm2
_chemical_formula_sum 'Tb4 Pr4 Sm2 Tm4'
_cell_length_a 11.749
_cell_length_b 3.535
_cell_length_c 11.914
_cell_angle_alpha 90.00
_cell_angle_beta 109.33
_cell_angle_gamma 90.00
_symmetry_space_group_name_H-M 'C 1 2/m 1'
_symmetry_Int_Tables_number 12
loop_
_symmetry_equiv_pos_as_xyz
'x,y,z'
'-x,-y,-z'
'-x,y,-z'
'x,-y,z'
'x+1/2,y+1/2,z'
'-x+1/2,-y+1/2,-z'
'-x+1/2,y+1/2,-z'
'x+1/2,-y+1/2,z'
loop_
_atom_site_label
_atom_site_type_symbol
_atom_site_fract_x
_atom_site_fract_y
_atom_site_fract_z
_atom_site_occupancy
Tb1 Tb 0.050 0.000 0.269 1
Pr1 Pr 0.170 0.000 0.584 1
Sm1 Sm 0.000 0.500 0.000 1
Tm1 Tm 0.226 0.500 0.865 1
```

5.
A plane-wave DFT calculation with PBE was carried out for a relaxed Tb4Pr2Sm2Y crystal.

Summary:
The energy of formation comes out at 0.004 eV/atom. The value obtained for the total energy is -87.90 eV for the cell shown. Its total magnetization is 0.00 μB/cell. The calculation puts the volume at 602.1 Å³/cell.

Cell and atoms, written as CIF:
```
data_Tb4Pr2Sm2Y
_chemical_formula_sum 'Tb8 Pr4 Sm4 Y2'
_cell_length_a 18.920
_cell_length_b 3.644
_cell_length_c 9.694
_cell_angle_alpha 90.00
_cell_angle_beta 115.73
_cell_angle_gamma 90.00
_symmetry_space_group_name_H-M 'C 1 2/m 1'
_symmetry_Int_Tables_number 12
loop_
_symmetry_equiv_pos_as_xyz
'x,y,z'
'-x,-y,-z'
'-x,y,-z'
'x,-y,z'
'x+1/2,y+1/2,z'
'-x+1/2,-y+1/2,-z'
'-x+1/2,y+1/2,-z'
'x+1/2,-y+1/2,z'
loop_
_atom_site_label
_atom_site_type_symbol
_atom_site_fract_x
_atom_site_fract_y
_atom_site_fract_z
_atom_site_occupancy
Tb1 Tb 0.019 0.000 0.334 1
Tb2 Tb 0.185 0.500 0.336 1
Pr1 Pr 0.166 0.000 0.000 1
Sm1 Sm 0.147 0.500 0.663 1
Y1 Y 0.000 0.500 0.000 1
```

6.
A plane-wave DFT calculation with PBE was carried out for a relaxed Tb2Pr2SmY6 crystal.

Summary:
The energy of formation comes out at 0.147 eV/atom. The value obtained for the total energy is -121.40 eV for the cell shown. Its total magnetization is 0.00 μB/cell. The calculation puts the volume at 742.0 Å³/cell.

Cell and atoms, written as CIF:
```
data_Tb2Pr2SmY6
_chemical_formula_sum 'Tb4 Pr4 Sm2 Y12'
_cell_length_a 5.714
_cell_length_b 12.122
_cell_length_c 10.712
_cell_angle_alpha 90.00
_cell_angle_beta 90.08
_cell_angle_gamma 90.00
_symmetry_space_group_name_H-M 'C 1 2/m 1'
_symmetry_Int_Tables_number 12
loop_
_symmetry_equiv_pos_as_xyz
'x,y,z'
'-x,-y,-z'
'-x,y,-z'
'x,-y,z'
'x+1/2,y+1/2,z'
'-x+1/2,-y+1/2,-z'
'-x+1/2,y+1/2,-z'
'x+1/2,-y+1/2,z'
loop_
_atom_site_label
_atom_site_type_symbol
_atom_site_fract_x
_atom_site_fract_y
_atom_site_fract_z
_atom_site_occupancy
Tb1 Tb 0.000 0.205 0.000 1
Pr1 Pr 0.000 0.134 0.500 1
Sm1 Sm 0.000 0.500 0.000 1
Y1 Y 0.001 0.000 0.794 1
Y2 Y 0.001 0.347 0.711 1
```